This record from Alexandria via LeMat-Bulk describes a relaxed CoPbO2 crystal. The functional is GGA+U.

Structure (extended XYZ):
```
4
Lattice="5.732 -1.470 2.540 5.192 -3.791 -0.382 6.361 -0.256 -0.973" Properties=species:S:1:pos:R:3 pbc="T T T"
Pb 8.642 -2.758 0.593
Co 0.000 0.000 0.000
O 15.587 -4.975 1.069
O 1.698 -0.542 0.116
```

Magnetization = 0.568 μB per atom
Fermi-level density of states = 1.636 states/eV per cell
Crystal system = trigonal
Symmetry = R-3m (166)
Raw total energy = -21.63 eV per cell